[1]
This record from the Alexandria database describes Cr2FeCu after structural relaxation. The functional is PBE.

Cell lengths 4.0503, 4.0503, 4.0503 Å; angles 60.00, 60.00, 60.00 degrees
Fractional coordinates of all 4 atoms:
Cr1 0.2500 0.2500 0.2500
Cr2 0.7500 0.7500 0.7500
Fe1 0.0000 0.0000 0.0000
Cu1 0.5000 0.5000 0.5000

DFT formation energy: 418 meV per atom
Energy above the lowest structure with this stoichiometry: 1.12 eV/f.u.
Uncorrected energy: -7.533 eV/atom
Total moment: 3.1 μB/f.u.
SG: Fm-3m (225)
Calculated volume: 11.75 A^3/atom



[2]
This record from the Alexandria database describes CaNiSbI2 after structural relaxation. The functional is PBE.

Cell lengths 5.3809, 5.3809, 5.1128 Å; angles 90.00, 90.00, 90.00 degrees
Fractional coordinates of all 5 atoms:
I1 0.0000 0.5000 0.0000
I2 0.5000 0.0000 0.0000
Sb1 0.0000 0.0000 0.5000
Ca1 0.5000 0.5000 0.5000
Ni1 0.0000 0.0000 0.0000

Energy above the lowest structure with this stoichiometry: 0.00 eV/f.u.
Uncorrected energy: -3.222 eV/atom
Total moment: 0.7 μB/f.u.
SG: P4/mmm (123)
Energy relative to the elements, uncorrected: -1.105 eV/f.u.
Calculated volume: 29.61 A^3/atom